## SrBrN2 (PBE)

Data for a relaxed structure of SrBrN2.

Structure (CIF):
```
data_SrBrN2
_chemical_formula_sum 'Sr2 Br2 N4'
_symmetry_space_group_name_H-M 'P 1'
_symmetry_Int_Tables_number 1
_symmetry_space_group_name_Hall 'P 1'
_cell_length_a 6.444
_cell_length_b 5.506
_cell_length_c 5.945
_cell_angle_alpha 90.00
_cell_angle_beta 106.27
_cell_angle_gamma 90.00
loop_
_atom_site_label
_atom_site_fract_x
_atom_site_fract_y
_atom_site_fract_z
Sr1 0.000 0.000 0.000
Sr2 0.500 0.500 0.000
Br1 0.000 0.000 0.500
Br2 0.500 0.500 0.500
N1 0.090 0.500 0.995
N2 0.410 0.000 0.005
N3 0.590 0.000 0.995
N4 0.910 0.500 0.005
```



## Sr4Br3N (PBE)

Data for a relaxed structure of Sr4Br3N.

Structure (CIF):
```
data_Sr4Br3N
_chemical_formula_sum 'Sr8 Br6 N2'
_symmetry_space_group_name_H-M 'P 1'
_symmetry_Int_Tables_number 1
_symmetry_space_group_name_Hall 'P 1'
_cell_length_a 8.060
_cell_length_b 10.436
_cell_length_c 9.741
_cell_angle_alpha 90.00
_cell_angle_beta 90.00
_cell_angle_gamma 90.00
loop_
_atom_site_label
_atom_site_fract_x
_atom_site_fract_y
_atom_site_fract_z
Sr1 0.000 0.194 0.000
Sr2 0.000 0.806 0.000
Sr3 0.239 0.000 0.271
Sr4 0.261 0.500 0.771
Sr5 0.500 0.306 0.500
Sr6 0.500 0.694 0.500
Sr7 0.739 0.500 0.771
Sr8 0.761 0.000 0.271
Br1 0.000 0.286 0.691
Br2 0.000 0.500 0.032
Br3 0.000 0.714 0.691
Br4 0.500 0.000 0.532
Br5 0.500 0.214 0.191
Br6 0.500 0.786 0.191
N1 0.000 0.000 0.126
N2 0.500 0.500 0.626
```



## Sr4BrN2 (PBE)

Data for a relaxed structure of Sr4BrN2.

Structure (CIF):
```
data_Sr4BrN2
_chemical_formula_sum 'Sr8 Br2 N4'
_symmetry_space_group_name_H-M 'P 1'
_symmetry_Int_Tables_number 1
_symmetry_space_group_name_Hall 'P 1'
_cell_length_a 7.796
_cell_length_b 7.804
_cell_length_c 7.895
_cell_angle_alpha 65.39
_cell_angle_beta 65.56
_cell_angle_gamma 86.40
loop_
_atom_site_label
_atom_site_fract_x
_atom_site_fract_y
_atom_site_fract_z
Sr1 0.000 0.000 0.000
Sr2 0.015 0.015 0.428
Sr3 0.064 0.589 0.376
Sr4 0.092 0.545 0.870
Sr5 0.426 0.951 0.053
Sr6 0.450 0.451 0.007
Sr7 0.470 0.922 0.559
Sr8 0.563 0.564 0.425
Br1 0.724 0.292 0.217
Br2 0.773 0.243 0.717
N1 0.218 0.216 0.045
N2 0.261 0.736 0.969
N3 0.278 0.754 0.460
N4 0.799 0.797 0.382
```



Number 1: E_form (uncorrected) -0.8800 eV per atom. Number 2: E_form (uncorrected) -1.1813 eV per atom. Number 3: E_form (uncorrected) -0.8058 eV per atom.